No. 1
The following is a GGA-PBEsol calculation of a geometry-optimized Sc2Si2Rh structure, from Alexandria via LeMat-Bulk.

abc: 4.1167 6.2709 6.2709
angles: 90.00 90.00 90.00
Closest atoms and distances in Å follow each position.
Sites, in units of the cell vectors:
Rh1 0.0000 0.0000 0.0000  4 Si 2.44
Si1 0.0000 0.3645 0.8645  1 Si 2.40, 2 Rh 2.44, 2 Sc 2.68
Si2 0.0000 0.6355 0.1355  1 Si 2.40, 2 Rh 2.44, 2 Sc 2.68
Si3 0.0000 0.8645 0.6355  1 Si 2.40, 2 Rh 2.44, 2 Sc 2.68
Si4 0.0000 0.1355 0.3645  1 Si 2.40, 2 Rh 2.44, 2 Sc 2.68
Sc1 0.5000 0.8285 0.3285  6 Si 2.68-2.83
Sc2 0.5000 0.6715 0.8285  6 Si 2.68-2.83
Sc3 0.5000 0.3285 0.1715  6 Si 2.68-2.83
Rh2 0.0000 0.5000 0.5000  4 Si 2.44
Sc4 0.5000 0.1715 0.6715  6 Si 2.68-2.83

Summary:
V: 81 Å³/f.u.
Space-group type: No. 127
Uncorrected energy: -7.6200 eV/atom

---

No. 2
The following is a GGA-PBEsol calculation of a geometry-optimized K2AlRe structure, from Alexandria via LeMat-Bulk.

abc: 2.8577 4.8268 5.9353
angles: 90.00 90.00 90.00
Closest atoms and distances in Å follow each position.
Sites, in units of the cell vectors:
K1 0.0000 0.0000 0.0000  6 K 2.80-2.86
Re1 0.5000 0.0000 0.5000  4 Al 2.80, 2 Re 2.86
Al1 0.0000 0.5000 0.5000  4 Re 2.80, 2 Al 2.86
K2 0.5000 0.5000 0.0000  6 K 2.80-2.86

Summary:
V: 82 Å³/f.u.
Space-group type: No. 47
Formation energy: 1.0906 eV/atom
Uncorrected energy: -3.8320 eV/atom

---

No. 3
The following is a GGA-PBEsol calculation of a geometry-optimized ZrH3F structure, from Alexandria via LeMat-Bulk.

abc: 3.7556 3.7556 3.7556
angles: 90.00 90.00 90.00
Closest atoms and distances in Å follow each position.
Sites, in units of the cell vectors:
H1 0.0000 0.0000 0.5000  2 Zr 1.88
H2 0.5000 0.0000 0.0000  2 Zr 1.88
Zr1 0.0000 0.0000 0.0000  6 H 1.88
F1 0.5000 0.5000 0.5000  12 H 2.66
H3 0.0000 0.5000 0.0000  2 Zr 1.88

Summary:
V: 53 Å³/f.u.
Space-group type: No. 221
Uncorrected energy: -4.5165 eV/atom

---

No. 4
The following is a GGA-PBEsol calculation of a geometry-optimized ZrBe2Ir2 structure, from Alexandria via LeMat-Bulk.

abc: 2.8159 6.7330 6.7330
angles: 90.00 90.00 90.00
Closest atoms and distances in Å follow each position.
Sites, in units of the cell vectors:
Ir1 0.5000 0.6697 0.8303  6 Be 2.42-2.47
Be1 0.0000 0.8824 0.6176  1 Be 2.24, 6 Ir 2.42-2.47
Ir2 0.5000 0.8303 0.3303  6 Be 2.42-2.47
Be2 0.0000 0.3824 0.8824  1 Be 2.24, 6 Ir 2.42-2.47
Ir3 0.5000 0.3303 0.1697  6 Be 2.42-2.47
Zr1 0.0000 0.0000 0.0000  4 Be 2.69, 2 Zr 2.82, 8 Ir 2.87
Zr2 0.0000 0.5000 0.5000  4 Be 2.69, 2 Zr 2.82, 8 Ir 2.87
Be3 0.0000 0.1176 0.3824  1 Be 2.24, 6 Ir 2.42-2.47
Be4 0.0000 0.6176 0.1176  1 Be 2.24, 6 Ir 2.42-2.47
Ir4 0.5000 0.1697 0.6697  6 Be 2.42-2.47

Summary:
V: 64 Å³/f.u.
Distance to the lowest polymorph of the same formula: 0.000 eV per atom
Space-group type: No. 127
Formation energy: -0.6436 eV/atom
Uncorrected energy: -7.9909 eV/atom

---

No. 5
The following is a GGA-PBEsol calculation of a geometry-optimized InReS2Cl structure, from Alexandria via LeMat-Bulk.

abc: 4.5586 4.5586 5.0679
angles: 90.00 90.00 90.00
Closest atoms and distances in Å follow each position.
Sites, in units of the cell vectors:
S1 0.0000 0.5000 0.0000  2 Re 2.28
Re1 0.0000 0.0000 0.0000  4 S 2.28, 2 Cl 2.53
In1 0.5000 0.5000 0.5000  4 Cl 3.22, 8 S 3.41
Cl1 0.0000 0.0000 0.5000  2 Re 2.53
S2 0.5000 0.0000 0.0000  2 Re 2.28

Summary:
V: 105 Å³/f.u.
Distance to the lowest polymorph of the same formula: 0.000 eV per atom
Space-group type: No. 123
Uncorrected energy: -5.5002 eV/atom

---

No. 6
The following is a GGA-PBEsol calculation of a geometry-optimized CsGeP2O structure, from Alexandria via LeMat-Bulk.

abc: 4.2214 5.3242 5.3242
angles: 90.00 90.00 90.00
Closest atoms and distances in Å follow each position.
Sites, in units of the cell vectors:
P1 0.0000 0.0000 0.5000  2 Cs 2.66
Cs1 0.0000 0.0000 0.0000  2 O 2.11
O1 0.5000 0.0000 0.0000  2 Cs 2.11
Ge1 0.5000 0.5000 0.5000  8 P 3.40, 4 O 3.76
P2 0.0000 0.5000 0.0000  2 Cs 2.66

Summary:
V: 120 Å³/f.u.
Space-group type: No. 123
Uncorrected energy: -3.0177 eV/atom

---

No. 7
The following is a GGA-PBEsol calculation of a geometry-optimized Zr2CdBr structure, from Alexandria via LeMat-Bulk.

abc: 3.2095 5.0787 5.5465
angles: 90.00 106.60 90.00
Closest atoms and distances in Å follow each position.
Sites, in units of the cell vectors:
Zr1 0.6032 0.5000 0.3273  2 Br 2.57, 1 Cd 2.80
Zr2 0.9265 0.0000 0.9764  2 Br 2.75
Cd1 0.3359 0.5000 0.8001  3 Zr 2.80-2.98
Br1 0.6344 0.0000 0.3962  4 Zr 2.57-2.75

Summary:
V: 87 Å³/f.u.
Distance to the lowest polymorph of the same formula: 0.000 eV per atom
Space-group type: No. 6
Uncorrected energy: -5.5118 eV/atom

---

No. 8
The following is a GGA-PBEsol calculation of a geometry-optimized MoOsO2 structure, from Alexandria via LeMat-Bulk.

abc: 3.8910 3.8910 3.8910
angles: 60.00 60.00 60.00
Closest atoms and distances in Å follow each position.
Sites, in units of the cell vectors:
O1 0.7500 0.7500 0.7500  4 Mo 2.38, 4 Os 2.38
Os1 0.5000 0.5000 0.5000  8 O 2.38
O2 0.2500 0.2500 0.2500  4 Mo 2.38, 4 Os 2.38
Mo1 0.0000 0.0000 0.0000  8 O 2.38

Summary:
V: 42 Å³/f.u.
Space-group type: No. 225
Uncorrected energy: -8.1995 eV/atom